Entry 1:
Here is crystalline Sm5Ga5Ru2 at its relaxed geometry from the Alexandria database. Energies are from PBE.

## Properties
Its space group is C2/m. As for the formation enthalpy at 0 K: -0.50 eV per atom. The density of states at the Fermi level is 0.838 states/eV per atom.

Lattice parameters (Å, degrees): 7.9609 7.9609 10.9839 129.37 129.37 32.16
Positions (direct):
Sm1 0.0000 0.0000 0.0000
Sm2 0.1203 0.1203 0.4260
Sm3 0.1936 0.1936 0.8256
Sm4 0.8064 0.8064 0.1744
Sm5 0.8797 0.8797 0.5740
Ga1 0.2588 0.2588 0.3119
Ga2 0.4473 0.4473 0.1625
Ga3 0.5000 0.5000 0.5000
Ga4 0.5527 0.5527 0.8375
Ga5 0.7412 0.7412 0.6881
Ru1 0.3474 0.3474 0.7438
Ru2 0.6526 0.6526 0.2562

=====

Entry 2:
Here is crystalline Co2TcAs at its relaxed geometry from the Alexandria database. Energies are from PBE.

## Properties
Its space group is P4/mmm. As for the formation enthalpy at 0 K: 0.12 eV per atom. The density of states at the Fermi level is 0.915 states/eV per atom.

Lattice parameters (Å, degrees): 2.7650 2.7650 6.6370 90.00 90.00 90.00
Positions (direct):
Co1 0.0000 0.0000 0.2351
Co2 0.0000 0.0000 0.7649
Tc1 0.5000 0.5000 0.5000
As1 0.5000 0.5000 0.0000

=====

Entry 3:
Here is crystalline Y3Er3Ni2 at its relaxed geometry from the Alexandria database. Energies are from PBE.

## Properties
Its space group is Cmcm. As for the formation enthalpy at 0 K: -0.16 eV per atom. The density of states at the Fermi level is 1.253 states/eV per atom.

Lattice parameters (Å, degrees): 6.7975 6.7975 18.2517 90.00 90.00 149.01
Positions (direct):
Y1 0.0321 0.9679 0.7500
Y2 0.1766 0.8234 0.0649
Y3 0.1766 0.8234 0.4351
Y4 0.8234 0.1766 0.5649
Y5 0.8234 0.1766 0.9351
Y6 0.9679 0.0321 0.2500
Er1 0.2475 0.7525 0.2500
Er2 0.4375 0.5625 0.0839
Er3 0.4375 0.5625 0.4161
Er4 0.5625 0.4375 0.5839
Er5 0.5625 0.4375 0.9161
Er6 0.7525 0.2475 0.7500
Ni1 0.1927 0.8073 0.6387
Ni2 0.1927 0.8073 0.8613
Ni3 0.8073 0.1927 0.1387
Ni4 0.8073 0.1927 0.3613

=====

Entry 4:
Here is crystalline Nd2NpIr3 at its relaxed geometry from the Alexandria database. Energies are from PBE.

## Properties
Its space group is C2/c. As for the formation enthalpy at 0 K: -0.34 eV per atom. The density of states at the Fermi level is 1.554 states/eV per atom.

Lattice parameters (Å, degrees): 6.9431 6.9431 8.3496 107.49 107.49 49.17
Positions (direct):
Nd1 0.1691 0.1713 0.0850
Nd2 0.1713 0.1691 0.5850
Nd3 0.8287 0.8309 0.4150
Nd4 0.8309 0.8287 0.9150
Np1 0.4983 0.5017 0.7500
Np2 0.5017 0.4983 0.2500
Ir1 0.0015 0.9985 0.2500
Ir2 0.3584 0.3604 0.4296
Ir3 0.3604 0.3584 0.9296
Ir4 0.6396 0.6416 0.0704
Ir5 0.6416 0.6396 0.5704
Ir6 0.9985 0.0015 0.7500

=====

Entry 5:
Here is crystalline Al3NiN at its relaxed geometry from the Alexandria database. Energies are from PBE.

## Properties
Its space group is Pm-3m. The relative energy among the computed polymorphs comes out at 0.0 meV per atom. The formation energy without anion corrections is -203.7 meV/atom. The density of states at the Fermi level is 0.246 states/eV per atom.

Lattice parameters (Å, degrees): 3.9116 3.9116 3.9116 90.00 90.00 90.00
Positions (direct):
Al1 0.0000 0.0000 0.5000
Al2 0.0000 0.5000 0.0000
Al3 0.5000 0.0000 0.0000
Ni1 0.5000 0.5000 0.5000
N1 0.0000 0.0000 0.0000

=====

Entry 6:
Here is crystalline ReSi at its relaxed geometry from the Alexandria database. Energies are from PBE.

## Properties
Its space group is Cm. The formation energy without anion corrections is -201.0 meV/atom. The density of states at the Fermi level is 0.559 states/eV per atom.

Lattice parameters (Å, degrees): 4.6092 4.6092 6.4635 100.03 100.03 38.23
Positions (direct):
Re1 0.0000 0.0000 0.0000
Re2 0.0927 0.0927 0.5861
Re3 0.7350 0.7350 0.3002
Si1 0.3786 0.3786 0.6857
Si2 0.4524 0.4524 0.2882
Si3 0.7079 0.7079 0.8920

=====

Entry 7:
Here is crystalline Tb2PuHfAs4 at its relaxed geometry from the Alexandria database. Energies are from PBE.

## Properties
Its space group is P2/m. As for the formation enthalpy at 0 K: -1.28 eV per atom. The density of states at the Fermi level is 1.517 states/eV per atom.

Lattice parameters (Å, degrees): 7.0082 4.0495 7.0158 90.00 109.25 90.00
Positions (direct):
Tb1 0.0000 0.0000 0.0000
Tb2 0.5000 0.5000 0.0000
Pu1 0.0000 0.5000 0.5000
Hf1 0.5000 0.0000 0.5000
As1 0.2563 0.0000 0.7412
As2 0.2633 0.5000 0.2641
As3 0.7367 0.5000 0.7359
As4 0.7437 0.0000 0.2588

=====

Entry 8:
Here is crystalline GeBTe2N at its relaxed geometry from the Alexandria database. Energies are from PBE.

## Properties
Its space group is P4/mmm. The relative energy among the computed polymorphs comes out at 0.0 meV per atom. The formation energy without anion corrections is 223.7 meV/atom. The density of states at the Fermi level is 0.527 states/eV per atom.

Lattice parameters (Å, degrees): 6.4439 6.4439 2.7211 90.00 90.00 90.00
Positions (direct):
Ge1 0.0000 0.0000 0.0000
B1 0.5000 0.5000 0.5000
Te1 0.0000 0.5000 0.5000
Te2 0.5000 0.0000 0.5000
N1 0.5000 0.5000 0.0000

=====

Entry 9:
Here is crystalline InHg4W at its relaxed geometry from the Alexandria database. Energies are from PBE.

## Properties
Its space group is F-43m. As for the formation enthalpy at 0 K: 0.93 eV per atom. The density of states at the Fermi level is 0.574 states/eV per atom.

Lattice parameters (Å, degrees): 5.8509 5.8509 5.8509 60.00 60.00 60.00
Positions (direct):
In1 0.0000 0.0000 0.0000
Hg1 0.3754 0.3754 0.3754
Hg2 0.3754 0.3754 0.8739
Hg3 0.3754 0.8739 0.3754
Hg4 0.8739 0.3754 0.3754
W1 0.7500 0.7500 0.7500

=====

Entry 10:
Here is crystalline Ce2CoRh at its relaxed geometry from the Alexandria database. Energies are from PBE.

## Properties
Its space group is Fm-3m. The relative energy among the computed polymorphs comes out at 144.6 meV per atom. As for the formation enthalpy at 0 K: -0.36 eV per atom. The density of states at the Fermi level is 2.007 states/eV per atom.

Lattice parameters (Å, degrees): 4.8502 4.8502 4.8502 60.00 60.00 60.00
Positions (direct):
Ce1 0.2500 0.2500 0.2500
Ce2 0.7500 0.7500 0.7500
Co1 0.0000 0.0000 0.0000
Rh1 0.5000 0.5000 0.5000

=====

Entry 11:
Here is crystalline MnTeOs2 at its relaxed geometry from the Alexandria database. Energies are from PBE.

## Properties
Its space group is F-43m. The formation energy without anion corrections is 811.7 meV/atom. The density of states at the Fermi level is 1.226 states/eV per atom.

Lattice parameters (Å, degrees): 4.4839 4.4839 4.4839 60.00 60.00 60.00
Positions (direct):
Mn1 0.0000 0.0000 0.0000
Te1 0.2500 0.2500 0.2500
Os1 0.5000 0.5000 0.5000
Os2 0.7500 0.7500 0.7500

=====

Entry 12:
Here is crystalline SrZrGe2 at its relaxed geometry from the Alexandria database. Energies are from PBE.

## Properties
Its space group is I-42d. As for the formation enthalpy at 0 K: -0.07 eV per atom. The density of states at the Fermi level is 0.887 states/eV per atom.

Lattice parameters (Å, degrees): 9.6892 9.6892 9.6892 148.03 148.03 45.84
Positions (direct):
Sr1 0.0000 0.0000 0.0000
Sr2 0.7500 0.2500 0.5000
Zr1 0.2500 0.7500 0.5000
Zr2 0.5000 0.5000 0.0000
Ge1 0.2845 0.6250 0.1595
Ge2 0.3750 0.5345 0.6595
Ge3 0.4655 0.1250 0.8405
Ge4 0.8750 0.7155 0.3405

=====

Entry 13:
Here is crystalline SrLiTe2Mo at its relaxed geometry from the Alexandria database. Energies are from PBE.

## Properties
Its space group is P4/mmm. The formation energy without anion corrections is 409.3 meV/atom. The density of states at the Fermi level is 0.358 states/eV per atom.

Lattice parameters (Å, degrees): 5.3093 5.3093 4.8832 90.00 90.00 90.00
Positions (direct):
Sr1 0.0000 0.0000 0.0000
Li1 0.0000 0.0000 0.5000
Te1 0.0000 0.5000 0.5000
Te2 0.5000 0.0000 0.5000
Mo1 0.5000 0.5000 0.0000